Record 1
DFT (GGA-PBE) results for a relaxed Sc7Se crystal.

- Total magnetic moment: 2.76 μB/f.u.
- Electronic total energy: -6.134 eV per atom
- V: 22.91 A^3/atom
- Density of states at the Fermi level: 1.3630 states/eV per atom

a = 6.376 Å, b = 6.376 Å, c = 6.376 Å
α = 60.00°, β = 60.00°, γ = 60.00°
Positions (direct):
Sc  0.000  0.000  0.000
Sc  0.000  0.000  0.500
Sc  0.000  0.500  0.000
Sc  0.000  0.500  0.500
Sc  0.500  0.000  0.000
Sc  0.500  0.000  0.500
Sc  0.500  0.500  0.000
Se  0.500  0.500  0.500

=====

Record 2
DFT (GGA-PBE) results for a relaxed CdBiHPb2 crystal.

- Total magnetic moment: 0.00 μB/f.u.
- Electronic total energy: -2.890 eV per atom
- V: 24.95 A^3/atom
- Density of states at the Fermi level: 0.5221 states/eV per atom

a = 4.963 Å, b = 4.963 Å, c = 5.063 Å
α = 90.00°, β = 90.00°, γ = 90.00°
Positions (direct):
Cd  0.000  0.000  0.000
Bi  0.500  0.500  0.000
H  0.000  0.000  0.500
Pb  0.000  0.500  0.500
Pb  0.500  0.000  0.500